(1)
Entry from Alexandria: an optimized crystal structure of Y3TiTl3S8 (PBE).

Geometry as POSCAR:
```
Y3TiTl3S8
1.0
3.908 2.256 7.585
-3.908 2.256 7.585
0.000 -4.512 7.585
Y Ti Tl S
3 1 3 8
Direct
0.000 0.500 0.500
0.500 0.000 0.500
0.500 0.500 0.000
0.000 0.000 0.000
0.000 0.000 0.500
0.000 0.500 0.000
0.500 0.000 0.000
0.215 0.215 0.758
0.215 0.758 0.215
0.242 0.785 0.785
0.267 0.267 0.267
0.733 0.733 0.733
0.758 0.215 0.215
0.785 0.242 0.785
0.785 0.785 0.242
```

Output
Uncorrected energy   -5.920 eV/atom

(2)
Entry from Alexandria: an optimized crystal structure of Ho8Al2In (PBE).

Geometry as POSCAR:
```
Ho8Al2In
1.0
8.014 -2.593 0.000
8.014 2.593 0.000
-4.106 0.000 7.251
Ho Al In
8 2 1
Direct
0.065 0.065 0.220
0.144 0.144 0.698
0.317 0.317 0.545
0.399 0.399 0.041
0.601 0.601 0.959
0.683 0.683 0.455
0.856 0.856 0.302
0.935 0.935 0.780
0.224 0.224 0.121
0.776 0.776 0.879
0.500 0.500 0.500
```

Output
Energy above the lowest structure with this stoichiometry   0.000 eV/atom
Uncorrected energy   -4.486 eV/atom
Energy of formation from the pure elements   -227 meV per atom

(3)
Entry from Alexandria: an optimized crystal structure of NaLaBi3 (PBE).

Geometry as POSCAR:
```
NaLaBi3
1.0
5.509 0.000 0.000
0.000 5.509 0.000
0.000 0.000 5.509
Na La Bi
1 1 3
Direct
0.000 0.000 0.000
0.500 0.500 0.500
0.000 0.000 0.500
0.000 0.500 0.000
0.500 0.000 0.000
```

Output
Energy above the lowest structure with this stoichiometry   0.395 eV/atom
Uncorrected energy   -3.546 eV/atom
Energy of formation from the pure elements   31 meV per atom

(4)
Entry from Alexandria: an optimized crystal structure of Sr2TlSn4Pt3 (PBE).

Geometry as POSCAR:
```
Sr2TlSn4Pt3
1.0
4.703 0.000 0.000
0.000 4.703 0.000
0.000 0.000 11.342
Sr Tl Sn Pt
2 1 4 3
Direct
0.000 0.500 0.248
0.500 0.000 0.752
0.000 0.000 0.500
0.000 0.000 0.000
0.000 0.500 0.647
0.500 0.000 0.353
0.500 0.500 0.000
0.000 0.500 0.880
0.500 0.000 0.120
0.500 0.500 0.500
```

Output
Uncorrected energy   -4.610 eV/atom
Energy of formation from the pure elements   -624 meV per atom